! Sm14HoTh | Alexandria via LeMat-Bulk | PBE | relaxed; values from VASP
&SYSTEM
  ibrav = 0, nat = 16, ntyp = 3
/
ATOMIC_SPECIES
Ho 164.93 Ho.upf
Sm 150.36 Sm.upf
Th 232.04 Th.upf
ATOMIC_POSITIONS crystal
Ho 0.375 0.625 0.000
Sm 0.875 0.125 0.500
Sm 0.123 0.877 0.753
Sm 0.875 0.625 0.000
Sm 0.375 0.125 0.000
Sm 0.627 0.877 0.247
Sm 0.627 0.877 0.753
Sm 0.875 0.625 0.500
Th 0.875 0.125 0.000
Sm 0.375 0.125 0.500
Sm 0.627 0.373 0.753
Sm 0.375 0.625 0.500
Sm 0.123 0.373 0.247
Sm 0.123 0.877 0.247
Sm 0.123 0.373 0.753
Sm 0.627 0.373 0.247
CELL_PARAMETERS angstrom
-1.964 3.870 5.789
-6.317 1.542 -3.173
-4.154 -8.383 4.195
! DOS at the Fermi energy: 21.7 states/eV per cell
! calculated density: 7.74 Mg/m³
! DFT total energy: -4.86 eV/atom

! Sm3Ho2Th | Alexandria via LeMat-Bulk | PBE | relaxed; values from VASP
&SYSTEM
  ibrav = 0, nat = 12, ntyp = 3
/
ATOMIC_SPECIES
Sm 150.36 Sm.upf
Ho 164.93 Ho.upf
Th 232.04 Th.upf
ATOMIC_POSITIONS crystal
Sm 0.078 0.474 0.818
Ho 0.075 0.209 0.549
Sm 0.327 0.858 0.858
Sm 0.078 0.818 0.474
Ho 0.575 0.791 0.451
Th 0.826 0.851 0.851
Ho 0.575 0.451 0.791
Th 0.326 0.149 0.149
Sm 0.578 0.182 0.526
Sm 0.578 0.526 0.182
Sm 0.827 0.142 0.142
Ho 0.075 0.549 0.209
CELL_PARAMETERS angstrom
6.880 0.000 0.000
0.000 7.228 2.960
0.000 -0.960 7.752
! DOS at the Fermi energy: 15.1 states/eV per cell
! calculated density: 8.31 Mg/m³
! DFT total energy: -4.89 eV/atom

! Sm4Ho4Th | Alexandria via LeMat-Bulk | PBE | relaxed; values from VASP
&SYSTEM
  ibrav = 0, nat = 9, ntyp = 3
/
ATOMIC_SPECIES
Ho 164.93 Ho.upf
Th 232.04 Th.upf
Sm 150.36 Sm.upf
ATOMIC_POSITIONS crystal
Ho 0.336 0.000 0.328
Ho 0.336 0.328 0.000
Th 0.000 0.000 0.000
Sm 0.330 0.670 0.670
Sm 0.000 0.670 0.330
Ho 0.664 0.000 0.672
Ho 0.664 0.672 0.000
Sm 0.000 0.330 0.670
Sm 0.670 0.330 0.330
CELL_PARAMETERS angstrom
-3.571 2.024 -2.948
2.275 -0.798 -7.636
-5.309 -5.710 -1.821
! DOS at the Fermi energy: 13.0 states/eV per cell
! calculated density: 8.50 Mg/m³
! DFT total energy: -4.93 eV/atom

! SmHoTh | Alexandria via LeMat-Bulk | PBE | relaxed; values from VASP
&SYSTEM
  ibrav = 0, nat = 3, ntyp = 3
/
ATOMIC_SPECIES
Th 232.04 Th.upf
Ho 164.93 Ho.upf
Sm 150.36 Sm.upf
ATOMIC_POSITIONS crystal
Th 0.333 0.667 0.664
Ho 0.667 0.333 0.342
Sm 0.000 0.000 0.994
CELL_PARAMETERS angstrom
-0.950 2.621 -2.252
-2.018 -0.712 2.875
4.663 5.718 4.690
! DOS at the Fermi energy: 4.9 states/eV per cell
! calculated density: 9.35 Mg/m³
! DFT total energy: -5.55 eV/atom

! SmHo7Th3 | Alexandria via LeMat-Bulk | PBE | relaxed; values from VASP
&SYSTEM
  ibrav = 0, nat = 11, ntyp = 3
/
ATOMIC_SPECIES
Ho 164.93 Ho.upf
Sm 150.36 Sm.upf
Th 232.04 Th.upf
ATOMIC_POSITIONS crystal
Ho 0.451 0.832 0.168
Sm 0.455 0.333 0.667
Ho 0.114 0.665 0.832
Ho 0.114 0.168 0.335
Th 0.784 0.501 0.499
Ho 0.114 0.168 0.832
Ho 0.451 0.832 0.664
Ho 0.451 0.336 0.168
Th 0.784 0.501 0.002
Ho 0.112 0.667 0.333
Th 0.784 0.998 0.499
CELL_PARAMETERS angstrom
8.537 0.000 0.000
0.000 7.054 0.000
0.000 -3.527 6.109
! DOS at the Fermi energy: 14.8 states/eV per cell
! calculated density: 9.03 Mg/m³
! DFT total energy: -5.15 eV/atom

! Sm4Ho5Th | Alexandria via LeMat-Bulk | PBE | relaxed; values from VASP
&SYSTEM
  ibrav = 0, nat = 10, ntyp = 3
/
ATOMIC_SPECIES
Ho 164.93 Ho.upf
Sm 150.36 Sm.upf
Th 232.04 Th.upf
ATOMIC_POSITIONS crystal
Ho 0.135 0.000 0.624
Sm 0.132 0.320 0.320
Ho 0.759 0.000 0.376
Th 0.222 0.000 0.000
Ho 0.759 0.376 0.000
Sm 0.451 0.320 0.680
Sm 0.771 0.680 0.680
Sm 0.452 0.680 0.320
Ho 0.135 0.624 0.000
Ho 0.694 0.000 0.000
CELL_PARAMETERS angstrom
-0.283 2.636 5.534
0.290 -5.355 5.968
7.252 1.855 2.890
! DOS at the Fermi energy: 14.9 states/eV per cell
! calculated density: 8.16 Mg/m³
! DFT total energy: -4.63 eV/atom

! Sm3Ho5Th | Alexandria via LeMat-Bulk | PBE | relaxed; values from VASP
&SYSTEM
  ibrav = 0, nat = 18, ntyp = 3
/
ATOMIC_SPECIES
Sm 150.36 Sm.upf
Ho 164.93 Ho.upf
Th 232.04 Th.upf
ATOMIC_POSITIONS crystal
Sm 0.250 0.000 0.665
Ho 0.750 0.000 0.669
Th 0.000 0.000 0.000
Ho 0.250 0.331 0.000
Ho 0.000 0.333 0.667
Ho 0.000 0.667 0.333
Ho 0.250 0.000 0.331
Ho 0.500 0.667 0.333
Sm 0.750 0.335 0.000
Th 0.500 0.000 0.000
Ho 0.250 0.669 0.669
Sm 0.250 0.335 0.335
Ho 0.750 0.331 0.331
Sm 0.250 0.665 0.000
Ho 0.500 0.333 0.667
Ho 0.750 0.669 0.000
Sm 0.750 0.665 0.665
Sm 0.750 0.000 0.335
CELL_PARAMETERS angstrom
7.014 0.000 0.000
0.000 9.724 0.000
0.000 -4.862 8.422
! DOS at the Fermi energy: 29.0 states/eV per cell
! calculated density: 8.72 Mg/m³
! DFT total energy: -4.88 eV/atom

! Sm4Ho2Th3 | Alexandria via LeMat-Bulk | PBE | relaxed; values from VASP
&SYSTEM
  ibrav = 0, nat = 9, ntyp = 3
/
ATOMIC_SPECIES
Th 232.04 Th.upf
Ho 164.93 Ho.upf
Sm 150.36 Sm.upf
ATOMIC_POSITIONS crystal
Th 0.000 0.000 0.983
Ho 0.667 0.333 0.088
Sm 0.000 0.000 0.545
Th 0.667 0.333 0.655
Sm 0.000 0.000 0.765
Sm 0.667 0.333 0.432
Th 0.000 0.000 0.321
Sm 0.667 0.333 0.214
Ho 0.667 0.333 0.874
CELL_PARAMETERS angstrom
-1.024 1.808 2.907
-2.443 -1.581 -2.073
2.059 -22.379 14.642
! DOS at the Fermi energy: 18.3 states/eV per cell
! calculated density: 9.11 Mg/m³
! DFT total energy: -5.50 eV/atom

! Sm5Ho4Th2 | Alexandria via LeMat-Bulk | PBE | relaxed; values from VASP
&SYSTEM
  ibrav = 0, nat = 11, ntyp = 3
/
ATOMIC_SPECIES
Sm 150.36 Sm.upf
Ho 164.93 Ho.upf
Th 232.04 Th.upf
ATOMIC_POSITIONS crystal
Sm 0.000 0.427 0.290
Ho 0.500 0.161 0.109
Ho 0.500 0.839 0.891
Th 0.000 0.962 0.634
Ho 0.500 0.697 0.454
Th 0.000 0.038 0.366
Ho 0.500 0.303 0.546
Sm 0.000 0.500 0.000
Sm 0.000 0.573 0.710
Sm 0.000 0.807 0.162
Sm 0.000 0.193 0.838
CELL_PARAMETERS angstrom
3.507 0.000 0.000
0.000 8.834 0.215
0.000 0.602 11.796
! DOS at the Fermi energy: 19.8 states/eV per cell
! calculated density: 8.53 Mg/m³
! DFT total energy: -5.03 eV/atom

! Sm4HoTh | Alexandria via LeMat-Bulk | PBE | relaxed; values from VASP
&SYSTEM
  ibrav = 0, nat = 6, ntyp = 3
/
ATOMIC_SPECIES
Sm 150.36 Sm.upf
Th 232.04 Th.upf
Ho 164.93 Ho.upf
ATOMIC_POSITIONS crystal
Sm 0.500 0.733 0.267
Th 0.500 0.000 0.000
Sm 0.000 0.237 0.237
Sm 0.000 0.763 0.763
Sm 0.500 0.267 0.733
Ho 0.000 0.500 0.500
CELL_PARAMETERS angstrom
3.437 0.000 0.000
0.000 8.336 -0.099
0.000 -0.085 8.336
! DOS at the Fermi energy: 10.5 states/eV per cell
! calculated density: 6.94 Mg/m³
! DFT total energy: -4.49 eV/atom

! Sm2Ho7Th2 | Alexandria via LeMat-Bulk | PBE | relaxed; values from VASP
&SYSTEM
  ibrav = 0, nat = 11, ntyp = 3
/
ATOMIC_SPECIES
Sm 150.36 Sm.upf
Ho 164.93 Ho.upf
Th 232.04 Th.upf
ATOMIC_POSITIONS crystal
Sm 0.784 0.306 0.216
Ho 0.352 0.915 0.648
Ho 0.232 0.329 0.238
Ho 0.238 0.671 0.232
Ho 0.768 0.671 0.762
Th 0.291 0.000 0.291
Sm 0.216 0.694 0.784
Th 0.709 0.000 0.709
Ho 0.000 0.500 0.000
Ho 0.762 0.329 0.768
Ho 0.648 0.085 0.352
CELL_PARAMETERS angstrom
-5.048 3.303 -5.400
-10.101 -2.383 -1.365
3.076 7.364 1.361
! DOS at the Fermi energy: 16.9 states/eV per cell
! calculated density: 8.87 Mg/m³
! DFT total energy: -4.94 eV/atom

! Sm5Ho2Th | Alexandria via LeMat-Bulk | PBE | relaxed; values from VASP
&SYSTEM
  ibrav = 0, nat = 16, ntyp = 3
/
ATOMIC_SPECIES
Sm 150.36 Sm.upf
Ho 164.93 Ho.upf
Th 232.04 Th.upf
ATOMIC_POSITIONS crystal
Sm 0.000 0.000 0.000
Sm 0.000 0.005 0.251
Sm 0.000 0.505 0.249
Sm 0.000 0.500 0.500
Ho 0.500 0.241 0.623
Sm 0.000 0.495 0.751
Th 0.000 0.500 0.000
Ho 0.500 0.759 0.377
Sm 0.000 0.995 0.749
Ho 0.500 0.741 0.877
Sm 0.500 0.253 0.877
Sm 0.500 0.747 0.123
Ho 0.500 0.259 0.123
Sm 0.500 0.753 0.623
Th 0.000 0.000 0.500
Sm 0.500 0.247 0.377
CELL_PARAMETERS angstrom
-4.324 -0.782 2.561
2.184 -6.646 1.659
6.188 5.024 11.980
! DOS at the Fermi energy: 22.0 states/eV per cell
! calculated density: 8.29 Mg/m³
! DFT total energy: -4.99 eV/atom